No. 1
Material: CsK2RbSe
Method: DFT, GGA-PBE
State: optimized geometry

a b c (Å): 6.603 6.603 7.184
angles (deg): 90.00 90.00 90.00
Space group P4/mmm (No. 123)
One atom of each set of equivalent atoms:
1 Cs 0.000 0.000 0.000 x1
2 K 0.000 0.500 0.500 x2
3 Rb 0.500 0.500 0.000 x1
4 Se 0.000 0.000 0.500 x1

Summary:
- calculated total energy (eV for the cell shown) = -10.27
- magnetic moment (μB/f.u.) = 0.0
- formation energy (no corrections) (eV/atom) = -0.554

***

No. 2
Material: Cs2KRbSe
Method: DFT, GGA-PBE
State: optimized geometry

a b c (Å): 7.249 7.249 6.558
angles (deg): 90.00 90.00 90.00
Space group P4/mmm (No. 123)
One atom of each set of equivalent atoms:
1 Cs 0.000 0.500 0.000 x2
2 K 0.000 0.000 0.500 x1
3 Rb 0.500 0.500 0.500 x1
4 Se 0.000 0.000 0.000 x1

Summary:
- calculated total energy (eV for the cell shown) = -10.05
- magnetic moment (μB/f.u.) = 0.0
- formation energy (no corrections) (eV/atom) = -0.560

***

No. 3
Material: CsKRb2Sn
Method: DFT, GGA-PBE
State: optimized geometry

a b c (Å): 7.309 7.309 7.072
angles (deg): 90.00 90.00 90.00
Space group P4/mmm (No. 123)
One atom of each set of equivalent atoms:
1 Cs 0.000 0.000 0.000 x1
2 K 0.500 0.500 0.000 x1
3 Rb 0.000 0.500 0.500 x2
4 Sn 0.500 0.500 0.500 x1

Summary:
- energy of formation from the pure elements (eV/atom) = 0.0214
- calculated total energy (eV for the cell shown) = -7.78
- magnetic moment (μB/f.u.) = 0.3